# 1
LiNdAlIn: optimized geometry, GGA-PBE.

- energy of formation from the pure elements (meV/atom) = -286
- crystal system = cubic
- mass density (Mg/m³) = 5.158
- M_tot (μB per atom) = 0.000

Unit cell a=7.226 b=7.226 c=7.226 alpha=90.00 beta=90.00 gamma=90.00
Space group F-43m (No. 216)
Asymmetric unit:
Li1 0.000 0.000 0.000 (multiplicity 4)
Nd1 0.000 0.000 0.500 (multiplicity 4)
Al1 0.250 0.250 0.250 (multiplicity 4)
In1 0.250 0.250 0.750 (multiplicity 4)

***

# 2
LiAlInPd: optimized geometry, GGA-PBE.

- energy of formation from the pure elements (meV/atom) = -490
- crystal system = cubic
- mass density (Mg/m³) = 6.552
- M_tot (μB per atom) = 0.000

Unit cell a=6.372 b=6.372 c=6.372 alpha=90.00 beta=90.00 gamma=90.00
Space group F-43m (No. 216)
Asymmetric unit:
Li1 0.000 0.000 0.000 (multiplicity 4)
Al1 0.250 0.250 0.250 (multiplicity 4)
In1 0.250 0.250 0.750 (multiplicity 4)
Pd1 0.000 0.000 0.500 (multiplicity 4)

***

# 3
LiPmAlIn: optimized geometry, GGA-PBE.

- energy of formation from the pure elements (meV/atom) = -292
- crystal system = cubic
- mass density (Mg/m³) = 5.255
- M_tot (μB per atom) = 0.000

Unit cell a=7.188 b=7.188 c=7.188 alpha=90.00 beta=90.00 gamma=90.00
Space group F-43m (No. 216)
Asymmetric unit:
Li1 0.000 0.000 0.000 (multiplicity 4)
Pm1 0.000 0.000 0.500 (multiplicity 4)
Al1 0.250 0.250 0.250 (multiplicity 4)
In1 0.250 0.250 0.750 (multiplicity 4)

***

# 4
LiPrAlIn: optimized geometry, GGA-PBE.

- energy of formation from the pure elements (meV/atom) = -262
- crystal system = cubic
- mass density (Mg/m³) = 5.405
- M_tot (μB per atom) = 0.000

Unit cell a=7.087 b=7.087 c=7.087 alpha=90.00 beta=90.00 gamma=90.00
Space group F-43m (No. 216)
Asymmetric unit:
Li1 0.000 0.000 0.000 (multiplicity 4)
Pr1 0.250 0.250 0.750 (multiplicity 4)
Al1 0.000 0.000 0.500 (multiplicity 4)
In1 0.250 0.250 0.250 (multiplicity 4)

***

# 5
LiAlInPt: optimized geometry, GGA-PBE.

- energy of formation from the pure elements (meV/atom) = -604
- crystal system = cubic
- mass density (Mg/m³) = 8.861
- M_tot (μB per atom) = 0.000

Unit cell a=6.364 b=6.364 c=6.364 alpha=90.00 beta=90.00 gamma=90.00
Space group F-43m (No. 216)
Asymmetric unit:
Li1 0.000 0.000 0.000 (multiplicity 4)
Al1 0.250 0.250 0.250 (multiplicity 4)
In1 0.250 0.250 0.750 (multiplicity 4)
Pt1 0.000 0.000 0.500 (multiplicity 4)

***

# 6
Li2AlInSb: optimized geometry, GGA-PBE.

- crystal system = tetragonal
- mass density (Mg/m³) = 3.107
- formation energy without anion corrections (eV/atom) = 0.416
- M_tot (μB per atom) = 0.000

Unit cell a=5.196 b=5.196 c=5.491 alpha=90.00 beta=90.00 gamma=90.00
Space group P4/mmm (No. 123)
Asymmetric unit:
Li1 0.000 0.500 0.000 (multiplicity 2)
Al1 0.000 0.000 0.500 (multiplicity 1)
In1 0.500 0.500 0.000 (multiplicity 1)
Sb1 0.500 0.500 0.500 (multiplicity 1)

***

# 7
LiSmAlIn: optimized geometry, GGA-PBE.

- energy of formation from the pure elements (meV/atom) = -293
- crystal system = cubic
- mass density (Mg/m³) = 5.407
- M_tot (μB per atom) = 0.000

Unit cell a=7.162 b=7.162 c=7.162 alpha=90.00 beta=90.00 gamma=90.00
Space group F-43m (No. 216)
Asymmetric unit:
Li1 0.000 0.000 0.000 (multiplicity 4)
Sm1 0.000 0.000 0.500 (multiplicity 4)
Al1 0.250 0.250 0.750 (multiplicity 4)
In1 0.250 0.250 0.250 (multiplicity 4)

***

# 8
LiAlInSn: optimized geometry, GGA-PBE.

- energy of formation from the pure elements (meV/atom) = -18
- crystal system = cubic
- mass density (Mg/m³) = 5.119
- M_tot (μB per atom) = 0.000

Unit cell a=7.027 b=7.027 c=7.027 alpha=90.00 beta=90.00 gamma=90.00
Space group F-43m (No. 216)
Asymmetric unit:
Li1 0.000 0.000 0.000 (multiplicity 4)
Al1 0.000 0.000 0.500 (multiplicity 4)
In1 0.250 0.250 0.250 (multiplicity 4)
Sn1 0.250 0.250 0.750 (multiplicity 4)

***

# 9
Sr2LiAlIn: optimized geometry, GGA-PBE.

- energy of formation from the pure elements (meV/atom) = 87
- crystal system = tetragonal
- mass density (Mg/m³) = 3.267
- M_tot (μB per atom) = 0.000

Unit cell a=5.867 b=5.867 c=4.784 alpha=90.00 beta=90.00 gamma=90.00
Space group P4/mmm (No. 123)
Asymmetric unit:
Sr1 0.000 0.500 0.000 (multiplicity 2)
Li1 0.000 0.000 0.000 (multiplicity 1)
Al1 0.000 0.000 0.500 (multiplicity 1)
In1 0.500 0.500 0.500 (multiplicity 1)

***

# 10
Sr2LiAl3In4: optimized geometry, GGA-PBE.

- energy of formation from the pure elements (meV/atom) = -266
- crystal system = tetragonal
- mass density (Mg/m³) = 4.686
- M_tot (μB per atom) = 0.000

Unit cell a=4.631 b=4.631 c=11.936 alpha=90.00 beta=90.00 gamma=90.00
Space group P-4m2 (No. 115)
Asymmetric unit:
Sr1 0.000 0.500 0.249 (multiplicity 2)
Li1 0.000 0.000 0.500 (multiplicity 1)
Al1 0.000 0.500 0.859 (multiplicity 2)
Al2 0.500 0.500 0.500 (multiplicity 1)
In1 0.000 0.000 0.000 (multiplicity 1)
In2 0.000 0.500 0.632 (multiplicity 2)
In3 0.500 0.500 0.000 (multiplicity 1)

***

# 11
SrLiAlIn2: optimized geometry, GGA-PBE.

- energy of formation from the pure elements (meV/atom) = -295
- crystal system = tetragonal
- mass density (Mg/m³) = 4.536
- M_tot (μB per atom) = 0.000

Unit cell a=4.599 b=4.599 c=12.157 alpha=90.00 beta=90.00 gamma=90.00
Space group I-4m2 (No. 119)
Asymmetric unit:
Sr1 0.000 0.000 0.000 (multiplicity 2)
Li1 0.000 0.500 0.750 (multiplicity 2)
Al1 0.000 0.500 0.250 (multiplicity 2)
In1 0.000 0.000 0.381 (multiplicity 4)

***

# 12
LiTbAlIn: optimized geometry, GGA-PBE.

- energy of formation from the pure elements (meV/atom) = -296
- crystal system = cubic
- mass density (Mg/m³) = 5.756
- M_tot (μB per atom) = 0.000

Unit cell a=7.081 b=7.081 c=7.081 alpha=90.00 beta=90.00 gamma=90.00
Space group F-43m (No. 216)
Asymmetric unit:
Li1 0.000 0.000 0.000 (multiplicity 4)
Tb1 0.000 0.000 0.500 (multiplicity 4)
Al1 0.250 0.250 0.250 (multiplicity 4)
In1 0.250 0.250 0.750 (multiplicity 4)

***

# 13
LiAl2InTe4: optimized geometry, GGA-PBE.

- crystal system = tetragonal
- mass density (Mg/m³) = 4.054
- formation energy without anion corrections (eV/atom) = -0.408
- M_tot (μB per atom) = 0.000

Unit cell a=6.110 b=6.110 c=15.055 alpha=90.00 beta=90.00 gamma=90.00
Space group I-42m (No. 121)
Asymmetric unit:
Li1 0.000 0.000 0.000 (multiplicity 2)
Al1 0.000 0.500 0.250 (multiplicity 4)
In1 0.000 0.000 0.500 (multiplicity 2)
Te1 0.229 0.229 0.146 (multiplicity 8)

***

# 14
LiTiAl2In: optimized geometry, GGA-PBE.

- energy of formation from the pure elements (meV/atom) = 528
- crystal system = tetragonal
- mass density (Mg/m³) = 2.720
- M_tot (μB per atom) = 0.308

Unit cell a=5.068 b=5.068 c=5.314 alpha=90.00 beta=90.00 gamma=90.00
Space group P4/mmm (No. 123)
Asymmetric unit:
Li1 0.000 0.000 0.000 (multiplicity 1)
Ti1 0.500 0.500 0.500 (multiplicity 1)
Al1 0.000 0.500 0.500 (multiplicity 2)
In1 0.500 0.500 0.000 (multiplicity 1)